Rb2CeUS4 (PBE-GGA, relaxed); energy = -6.0121 eV/atom; Fermi-level density of states = 11.26 states/eV/cell; V = 231 Å³ per cell; total moment = 4.01 Bohr magnetons per cell; formation energy without anion corrections = -1199 kJ/mol of formula units
1.0
4.148 0.000 0.000
0.000 7.196 0.119
0.000 -2.521 7.687
Rb Ce U S
2 1 1 4
direct
0.500 0.000 0.500
0.000 0.500 0.500
0.500 0.500 0.000
0.000 0.000 0.000
0.500 0.224 0.193
0.500 0.776 0.807
0.000 0.261 0.804
0.000 0.739 0.196